Density functional theory data (PBE) for a relaxed LiPuBeP2 crystal.

Calculated values
- N(E_F) (states/eV/f.u.) = 5.83
- DFT total energy (eV/cell) = -135.9

Cell lengths 10.5311, 3.8503, 9.3508 Å; angles 90.00, 121.12, 90.00 degrees
Space group C2/m (No. 12)
Symmetry-distinct sites (fractional):
Li  0.1523  0.0000  0.0928 [4 per cell]
Pu  0.0158  0.0000  0.6774 [4 per cell]
Be  0.1999  0.5000  0.3548 [4 per cell]
P  0.0236  0.5000  0.8922 [4 per cell]
P  0.1827  0.5000  0.5939 [4 per cell]


Density functional theory data (PBE) for a relaxed LiNpNbN4 crystal.

Calculated values
- N(E_F) (states/eV/f.u.) = 3.85
- E_form (uncorrected) (meV/atom) = -800

Cell lengths 6.2174, 6.8318, 9.0544 Å; angles 90.00, 90.00, 90.00 degrees
Space group Imma (No. 74)
Symmetry-distinct sites (fractional):
Li  0.0000  0.2500  0.1314 [4 per cell]
Np  0.0000  0.0000  0.5000 [4 per cell]
Nb  0.2500  0.2500  0.7500 [4 per cell]
N  0.0000  0.0384  0.7320 [8 per cell]
N  0.2153  0.2500  0.5166 [8 per cell]


Density functional theory data (PBE) for a relaxed LaSb2TeI crystal.

Calculated values
- N(E_F) (states/eV/f.u.) = 6.47
- energy above the lowest structure with this stoichiometry (meV per atom) = 155
- E_form (uncorrected) (meV/atom) = 272

Cell lengths 6.2395, 6.2395, 5.9901 Å; angles 90.00, 90.00, 90.00 degrees
Space group P4/mmm (No. 123)
Symmetry-distinct sites (fractional):
La  0.0000  0.0000  0.0000 [1 per cell]
Sb  0.0000  0.5000  0.0000 [2 per cell]
Te  0.0000  0.0000  0.5000 [1 per cell]
I  0.5000  0.5000  0.5000 [1 per cell]


Density functional theory data (PBE) for a relaxed PmErCuIr crystal.

Calculated values
- N(E_F) (states/eV/f.u.) = 2.49
- energy above the lowest structure with this stoichiometry (meV per atom) = 16

Cell lengths 6.9574, 6.9574, 6.9574 Å; angles 90.00, 90.00, 90.00 degrees
Space group F-43m (No. 216)
Symmetry-distinct sites (fractional):
Pm  0.0000  0.0000  0.0000 [4 per cell]
Er  0.0000  0.0000  0.5000 [4 per cell]
Cu  0.2500  0.2500  0.7500 [4 per cell]
Ir  0.2500  0.2500  0.2500 [4 per cell]


Density functional theory data (PBE) for a relaxed Ba2PuMoN5 crystal.

Calculated values
- N(E_F) (states/eV/f.u.) = 3.79
- E_form (uncorrected) (meV/atom) = -729

Cell lengths 3.6239, 15.2758, 11.7843 Å; angles 90.00, 90.00, 90.00 degrees
Space group Cmc2_1 (No. 36)
Symmetry-distinct sites (fractional):
Ba  0.0000  0.1072  0.0000 [4 per cell]
Ba  0.0000  0.1442  0.6543 [4 per cell]
Pu  0.0000  0.2031  0.3628 [4 per cell]
Mo  0.0000  0.4503  0.7676 [4 per cell]
N  0.0000  0.0435  0.3410 [4 per cell]
N  0.0000  0.2887  0.9691 [4 per cell]
N  0.0000  0.3292  0.7334 [4 per cell]
N  0.0000  0.3318  0.3362 [4 per cell]
N  0.0000  0.4965  0.1336 [4 per cell]


Density functional theory data (PBE) for a relaxed Tb12NiRh6 crystal.

Calculated values
- N(E_F) (states/eV/f.u.) = 10.66
- DFT total energy (eV/cell) = -348.5

Cell lengths 12.4493, 12.4493, 11.4153 Å; angles 90.00, 90.00, 120.00 degrees
Space group R-3 (No. 148, hexagonal axes)
Symmetry-distinct sites (fractional):
Tb  0.0273  0.8133  0.3906 [18 per cell]
Tb  0.0391  0.8360  0.8824 [18 per cell]
Ni  0.0000  0.0000  0.0000 [3 per cell]
Rh  0.0463  0.7808  0.6474 [18 per cell]


Density functional theory data (PBE) for a relaxed BaTbC crystal.

Calculated values
- N(E_F) (states/eV/f.u.) = 1.89
- DFT total energy (eV/cell) = -31.2

Cell lengths 3.9023, 5.1728, 9.5768 Å; angles 90.00, 90.00, 90.00 degrees
Space group Pmmn (No. 59, origin choice 2)
Symmetry-distinct sites (fractional):
Ba  0.2500  0.2500  0.1882 [2 per cell]
Tb  0.2500  0.2500  0.5636 [2 per cell]
C  0.2500  0.7500  0.5891 [2 per cell]


Density functional theory data (PBE) for a relaxed Tl2Sn2Hg5 crystal.

Calculated values
- N(E_F) (states/eV/f.u.) = 2.82
- DFT total energy (eV/cell) = -28.1

Cell lengths 12.8485, 5.4502, 7.5652 Å; angles 90.00, 98.57, 90.00 degrees
Space group C2/m (No. 12)
Symmetry-distinct sites (fractional):
Tl  0.0670  0.0000  0.2487 [4 per cell]
Sn  0.2087  0.5000  0.9141 [4 per cell]
Hg  0.0000  0.5000  0.0000 [2 per cell]
Hg  0.1174  0.5000  0.4852 [4 per cell]
Hg  0.1788  0.0000  0.6843 [4 per cell]


Density functional theory data (PBE) for a relaxed CdIn2Te crystal.

Calculated values
- N(E_F) (states/eV/f.u.) = 1.80
- energy above the lowest structure with this stoichiometry (meV per atom) = 81
- E_form (uncorrected) (meV/atom) = -39

Cell lengths 3.9528, 3.9528, 7.2043 Å; angles 90.00, 90.00, 90.00 degrees
Space group P4/mmm (No. 123)
Symmetry-distinct sites (fractional):
Cd  0.0000  0.0000  0.0000 [1 per cell]
In  0.5000  0.5000  0.2505 [2 per cell]
Te  0.0000  0.0000  0.5000 [1 per cell]


Density functional theory data (PBE) for a relaxed DyEr3Mg6 crystal.

Calculated values
- N(E_F) (states/eV/f.u.) = 13.09
- energy above the lowest structure with this stoichiometry (meV per atom) = 990

Cell lengths 10.9968, 10.9968, 10.9968 Å; angles 90.00, 90.00, 90.00 degrees
Space group Fm-3m (No. 225)
Symmetry-distinct sites (fractional):
Dy  0.0000  0.0000  0.0000 [4 per cell]
Er  0.0000  0.0000  0.5000 [4 per cell]
Er  0.2500  0.2500  0.2500 [8 per cell]
Mg  0.0000  0.0000  0.2503 [24 per cell]


Density functional theory data (PBE) for a relaxed Sr2BePb crystal.

Calculated values
- N(E_F) (states/eV/f.u.) = 3.68
- energy above the lowest structure with this stoichiometry (meV per atom) = 441

Cell lengths 7.9464, 7.9464, 7.9464 Å; angles 90.00, 90.00, 90.00 degrees
Space group F-43m (No. 216)
Symmetry-distinct sites (fractional):
Sr  0.0000  0.0000  0.0000 [4 per cell]
Sr  0.2500  0.2500  0.2500 [4 per cell]
Be  0.2500  0.2500  0.7500 [4 per cell]
Pb  0.0000  0.0000  0.5000 [4 per cell]


Density functional theory data (PBE) for a relaxed SrCd4Si crystal.

Calculated values
- N(E_F) (states/eV/f.u.) = 3.09
- E_form (uncorrected) (meV/atom) = 64

Cell lengths 8.4647, 8.4647, 8.4647 Å; angles 90.00, 90.00, 90.00 degrees
Space group F-43m (No. 216)
Symmetry-distinct sites (fractional):
Sr  0.0000  0.0000  0.0000 [4 per cell]
Cd  0.1245  0.1245  0.6245 [16 per cell]
Si  0.2500  0.2500  0.2500 [4 per cell]


Density functional theory data (PBE) for a relaxed TbS2Cl4 crystal.

Calculated values
- E_form (uncorrected) (meV/atom) = -1202

Cell lengths 4.0446, 7.7336, 8.8483 Å; angles 102.69, 96.10, 101.91 degrees
Space group P-1 (No. 2)
Symmetry-distinct sites (fractional):
Tb  0.0000  0.0000  0.0000 [1 per cell]
S  0.4408  0.5687  0.5894 [2 per cell]
Cl  0.1618  0.3532  0.1389 [2 per cell]
Cl  0.4786  0.0510  0.8129 [2 per cell]


Density functional theory data (PBE) for a relaxed TaVAs3 crystal.

Calculated values
- N(E_F) (states/eV/f.u.) = 5.33
- energy above the lowest structure with this stoichiometry (meV per atom) = 0

Cell lengths 4.9685, 4.9685, 4.9685 Å; angles 90.00, 90.00, 90.00 degrees
Space group Pm-3m (No. 221)
Symmetry-distinct sites (fractional):
Ta  0.0000  0.0000  0.0000 [1 per cell]
V  0.5000  0.5000  0.5000 [1 per cell]
As  0.0000  0.0000  0.5000 [3 per cell]


Density functional theory data (PBE) for a relaxed SmZr6N8 crystal.

Calculated values
- N(E_F) (states/eV/f.u.) = 5.17
- E_form (uncorrected) (meV/atom) = -1260

Cell lengths 8.6643, 8.6643, 3.2937 Å; angles 90.00, 90.00, 120.00 degrees
Space group P-3 (No. 147)
Symmetry-distinct sites (fractional):
Sm  0.0000  0.0000  0.0000 [1 per cell]
Zr  0.1391  0.6875  0.2639 [6 per cell]
N  0.0370  0.3603  0.2316 [6 per cell]
N  0.3333  0.6667  0.7584 [2 per cell]


Density functional theory data (PBE) for a relaxed Mg2TcP crystal.

Calculated values
- N(E_F) (states/eV/f.u.) = 1.28
- DFT total energy (eV/cell) = -20.2

Cell lengths 3.1124, 3.1124, 7.0955 Å; angles 90.00, 90.00, 90.00 degrees
Space group P4mm (No. 99)
Symmetry-distinct sites (fractional):
Mg  0.0000  0.0000  0.0000 [1 per cell]
Mg  0.5000  0.5000  0.3400 [1 per cell]
Tc  0.5000  0.5000  0.7345 [1 per cell]
P  0.0000  0.0000  0.5951 [1 per cell]


Density functional theory data (PBE) for a relaxed PuUAlTc crystal.

Calculated values
- N(E_F) (states/eV/f.u.) = 7.65
- DFT total energy (eV/cell) = -160.9

Cell lengths 6.6612, 6.6612, 6.6612 Å; angles 90.00, 90.00, 90.00 degrees
Space group F-43m (No. 216)
Symmetry-distinct sites (fractional):
Pu  0.0000  0.0000  0.0000 [4 per cell]
U  0.2500  0.2500  0.2500 [4 per cell]
Al  0.2500  0.2500  0.7500 [4 per cell]
Tc  0.0000  0.0000  0.5000 [4 per cell]